[1]
Mg2CrRe (GGA-PBE, optimized geometry); distance to the lowest polymorph of the same formula = 290 meV/atom; energy relative to the elements = 447.0 meV/atom
1.0
4.485 0.000 0.000
0.000 3.722 0.000
0.000 0.000 3.722
Mg Cr Re
2 1 1
direct
0.000 0.500 0.500 Mg
0.000 0.000 0.000 Mg
0.500 0.000 0.500 Cr
0.500 0.500 0.000 Re

[2]
Zr2Ti2Al (GGA-PBE, optimized geometry); distance to the lowest polymorph of the same formula = 0 meV/atom; energy relative to the elements = -129.3 meV/atom
1.0
2.930 0.000 -0.801
-0.724 5.410 -2.646
1.554 0.697 11.436
Ti Zr Al
4 4 2
direct
0.204 0.557 0.410 Ti
0.205 0.057 0.410 Ti
0.796 0.443 0.590 Ti
0.795 0.943 0.590 Ti
0.599 0.649 0.199 Zr
0.400 0.851 0.801 Zr
0.600 0.149 0.199 Zr
0.401 0.351 0.801 Zr
0.000 0.750 0.000 Al
0.000 0.250 0.000 Al

[3]
SmCo2H8 (GGA-PBE, optimized geometry); VASP energy = -4.369 eV per atom
1.0
4.314 0.065 -0.028
-0.079 3.929 -2.083
0.024 -0.135 4.445
Sm Co H
1 2 8
direct
0.090 0.082 0.082 Sm
0.591 0.707 0.362 Co
0.591 0.362 0.707 Co
0.828 0.575 0.575 H
0.342 0.602 0.048 H
0.841 0.049 0.602 H
0.342 0.048 0.602 H
0.354 0.574 0.574 H
0.590 0.051 0.314 H
0.841 0.602 0.049 H
0.590 0.314 0.051 H

Which formula does entry 2 have?
Zr2Ti2Al